# 1
Compound: Gd3CuN
Source: Alexandria
Functional: PBE
Structure: optimized geometry

```
Gd3CuN
1.0
4.814 0.000 0.000
0.000 4.814 0.000
0.000 0.000 4.814
Gd N Cu
3 1 1
direct
0.000 0.000 0.500
0.500 0.000 0.000
0.000 0.500 0.000
0.000 0.000 0.000
0.500 0.500 0.500
```

- crystal system = cubic
- D(E_F) (states/eV/atom) = 0.718
- total DFT energy (no corrections) (hartree per atom) = -0.424
- E_form (uncorrected) (eV/atom) = -0.6050


# 2
Compound: Gd2CuN
Source: Alexandria
Functional: PBE
Structure: optimized geometry

```
Gd2CuN
1.0
3.424 0.000 0.000
1.712 2.965 0.000
1.712 0.988 8.428
Gd Cu N
2 1 1
direct
0.887 0.887 0.338
0.113 0.113 0.662
0.000 0.000 0.000
0.500 0.500 0.500
```

- crystal system = trigonal
- D(E_F) (states/eV/atom) = 0.771
- total DFT energy (no corrections) (hartree per atom) = -0.387
- E_form (uncorrected) (eV/atom) = -0.3768


# 3
Compound: NaGd2Cu
Source: Alexandria
Functional: PBE
Structure: optimized geometry

```
NaGd2Cu
1.0
3.606 0.000 0.000
1.803 3.123 0.000
1.803 1.041 11.019
Cu Na Gd
1 1 2
direct
0.500 0.500 0.500
0.000 0.000 0.000
0.892 0.892 0.323
0.108 0.108 0.677
```

- crystal system = trigonal
- D(E_F) (states/eV/atom) = 1.425
- total DFT energy (no corrections) (hartree per atom) = -0.302
- energy above the most stable polymorph in this dataset (kJ per mole of atoms) = 16.6


# 4
Compound: NaGdCu4
Source: Alexandria
Functional: PBE
Structure: optimized geometry

```
NaGdCu4
1.0
5.195 0.000 0.000
2.597 4.499 0.000
2.597 1.500 4.242
Gd Cu Na
1 4 1
direct
0.250 0.250 0.250
0.626 0.122 0.626
0.626 0.626 0.626
0.122 0.626 0.626
0.626 0.626 0.122
0.000 0.000 0.000
```

- crystal system = cubic
- D(E_F) (states/eV/atom) = 1.005
- total DFT energy (no corrections) (hartree per atom) = -0.196


# 5
Compound: NaGd2Cu
Source: Alexandria
Functional: PBE
Structure: optimized geometry

```
NaGd2Cu
1.0
-2.162 -1.536 2.199
2.145 -2.686 0.233
4.453 4.192 7.308
Na Gd Cu
1 2 1
direct
0.500 0.500 0.500
0.000 0.000 0.819
0.000 0.000 0.181
0.500 0.500 0.000
```

- crystal system = tetragonal
- D(E_F) (states/eV/atom) = 1.172
- total DFT energy (no corrections) (hartree per atom) = -0.308
- energy above the most stable polymorph in this dataset (kJ per mole of atoms) = 0.0


# 6
Compound: NaGdTlCu
Source: Alexandria
Functional: PBE
Structure: optimized geometry

```
NaGdTlCu
1.0
5.126 0.000 0.000
2.563 4.439 0.000
2.563 1.480 4.185
Na Tl Gd Cu
1 1 1 1
direct
0.000 0.000 0.000
0.750 0.750 0.750
0.500 0.500 0.500
0.250 0.250 0.250
```

- crystal system = cubic
- D(E_F) (states/eV/atom) = 0.518
- total DFT energy (no corrections) (hartree per atom) = -0.202


What did the fourth record say?
Compound: NaGdCu4
Source: Alexandria
Functional: PBE
Structure: optimized geometry

```
NaGdCu4
1.0
5.195 0.000 0.000
2.597 4.499 0.000
2.597 1.500 4.242
Gd Cu Na
1 4 1
direct
0.250 0.250 0.250
0.626 0.122 0.626
0.626 0.626 0.626
0.122 0.626 0.626
0.626 0.626 0.122
0.000 0.000 0.000
```

- crystal system = cubic
- D(E_F) (states/eV/atom) = 1.005
- total DFT energy (no corrections) (hartree per atom) = -0.196